1.
! PBE LuFeCoSi, optimized geometry; values from VASP
&SYSTEM
  ibrav = 0, nat = 4, ntyp = 4
/
ATOMIC_SPECIES
Lu 174.97 Lu.upf
Fe 55.84 Fe.upf
Co 58.93 Co.upf
Si 28.09 Si.upf
ATOMIC_POSITIONS angstrom
Lu 0.000 0.000 0.000
Fe 3.095 3.095 3.095
Co 4.643 4.643 4.643
Si 1.548 1.548 1.548
CELL_PARAMETERS angstrom
0.000 3.095 3.095
3.095 0.000 3.095
3.095 3.095 0.000
! size of the total moment: 4.01 μB/cell
! offset from the most stable computed form: 0.271 eV per atom



2.
! PBE RbTb2Cu3Se5, optimized geometry; values from VASP
&SYSTEM
  ibrav = 0, nat = 22, ntyp = 4
/
ATOMIC_SPECIES
Rb 85.47 Rb.upf
Tb 158.93 Tb.upf
Cu 63.55 Cu.upf
Se 78.96 Se.upf
ATOMIC_POSITIONS angstrom
Rb 2.062 6.371 12.839
Rb 2.062 -6.371 4.280
Tb 2.062 4.481 1.581
Tb 2.062 4.481 6.979
Tb 2.062 -4.481 10.140
Tb 2.062 -4.481 15.538
Cu 2.062 2.296 12.839
Cu 2.062 1.243 0.476
Cu 2.062 1.243 8.083
Cu 2.062 -1.243 9.036
Cu 2.062 -1.243 16.642
Cu 2.062 -2.296 4.280
Se 2.062 4.863 9.793
Se 2.062 4.863 15.885
Se 2.062 3.688 4.280
Se 2.062 0.841 10.569
Se 2.062 0.841 15.109
Se 2.062 -0.841 2.010
Se 2.062 -0.841 6.549
Se 2.062 -3.688 12.839
Se 2.062 -4.863 1.233
Se 2.062 -4.863 7.326
CELL_PARAMETERS angstrom
2.062 -7.259 0.000
2.062 7.259 0.000
0.000 0.000 17.119
! size of the total moment: 0.00 μB/cell
! E_tot: -102.45 eV per cell



3.
! PBE AcTcAsO, optimized geometry; values from VASP
&SYSTEM
  ibrav = 0, nat = 8, ntyp = 4
/
ATOMIC_SPECIES
Ac 227.00 Ac.upf
Tc 98.00 Tc.upf
As 74.92 As.upf
O 16.00 O.upf
ATOMIC_POSITIONS angstrom
Ac 1.111 3.332 0.000
Ac 3.332 1.111 0.000
Tc 1.111 1.111 4.550
Tc 3.332 3.332 5.017
As 1.111 1.111 2.163
As 3.332 3.332 7.404
O 1.111 3.332 4.783
O 3.332 1.111 4.783
CELL_PARAMETERS angstrom
4.442 0.000 0.000
0.000 4.442 0.000
0.000 0.000 9.567
! size of the total moment: 4.84 μB/cell
! offset from the most stable computed form: 1.825 eV per atom



4.
! PBE YHoSi2Os, optimized geometry; values from VASP
&SYSTEM
  ibrav = 0, nat = 10, ntyp = 4
/
ATOMIC_SPECIES
Y 88.91 Y.upf
Ho 164.93 Ho.upf
Si 28.09 Si.upf
Os 190.23 Os.upf
ATOMIC_POSITIONS angstrom
Y -0.776 0.000 1.564
Y 6.614 0.000 7.181
Ho -0.978 0.000 5.338
Ho 6.816 0.000 3.407
Si -0.758 0.000 8.212
Si 2.289 0.000 5.464
Si 3.549 0.000 3.281
Si 6.596 0.000 0.532
Os 2.273 0.000 1.112
Os 3.565 0.000 7.633
CELL_PARAMETERS angstrom
5.340 -2.109 0.000
5.340 2.109 0.000
-4.842 0.000 8.745
! size of the total moment: 0.23 μB/cell
! offset from the most stable computed form: 0.011 eV per atom



5.
! PBE LuBeCuSb, optimized geometry; values from VASP
&SYSTEM
  ibrav = 0, nat = 4, ntyp = 4
/
ATOMIC_SPECIES
Lu 174.97 Lu.upf
Be 9.01 Be.upf
Cu 63.55 Cu.upf
Sb 121.76 Sb.upf
ATOMIC_POSITIONS angstrom
Lu 0.000 0.000 0.000
Be 1.651 1.651 1.651
Cu 4.952 4.952 4.952
Sb 3.301 3.301 3.301
CELL_PARAMETERS angstrom
0.000 3.301 3.301
3.301 0.000 3.301
3.301 3.301 0.000
! size of the total moment: 0.00 μB/cell
! offset from the most stable computed form: 0.000 eV per atom



6.
! PBE GdHoTm2, optimized geometry; values from VASP
&SYSTEM
  ibrav = 0, nat = 8, ntyp = 3
/
ATOMIC_SPECIES
Gd 157.25 Gd.upf
Ho 164.93 Ho.upf
Tm 168.93 Tm.upf
ATOMIC_POSITIONS angstrom
Gd 0.000 0.000 0.000
Gd 2.791 0.000 4.132
Ho 0.000 -1.779 9.291
Ho 0.000 1.779 9.291
Tm 0.000 0.000 6.208
Tm 2.791 -1.779 7.236
Tm 2.791 1.779 7.236
Tm 2.791 0.000 10.318
CELL_PARAMETERS angstrom
5.582 0.000 0.000
0.000 3.577 6.197
0.000 -3.577 6.197
! ΔH_f (0 K): 0.02 eV per formula unit
! size of the total moment: 0.14 μB/cell



7.
! PBE LuZnPbSe3, optimized geometry; values from VASP
&SYSTEM
  ibrav = 0, nat = 12, ntyp = 4
/
ATOMIC_SPECIES
Lu 174.97 Lu.upf
Zn 65.41 Zn.upf
Pb 207.20 Pb.upf
Se 78.96 Se.upf
ATOMIC_POSITIONS angstrom
Lu 0.000 0.000 0.000
Lu 0.000 0.000 5.257
Zn 2.032 0.494 7.886
Zn 2.032 -0.494 2.629
Pb 2.032 3.814 2.629
Pb 2.032 -3.814 7.886
Se 2.032 5.869 7.886
Se 2.032 1.906 5.760
Se 2.032 1.906 10.013
Se 2.032 -1.906 0.502
Se 2.032 -1.906 4.755
Se 2.032 -5.869 2.629
CELL_PARAMETERS angstrom
2.032 -6.961 0.000
2.032 6.961 0.000
0.000 0.000 10.515
! size of the total moment: 0.03 μB/cell
! E_tot: -50.87 eV per cell



8.
! PBE HfCu2Bi, optimized geometry; values from VASP
&SYSTEM
  ibrav = 0, nat = 4, ntyp = 3
/
ATOMIC_SPECIES
Hf 178.49 Hf.upf
Cu 63.55 Cu.upf
Bi 208.98 Bi.upf
ATOMIC_POSITIONS angstrom
Hf 0.000 0.000 0.000
Cu 1.672 1.672 1.672
Cu 3.344 3.344 3.344
Bi 5.016 5.016 5.016
CELL_PARAMETERS angstrom
0.000 3.344 3.344
3.344 0.000 3.344
3.344 3.344 0.000
! size of the total moment: 0.02 μB/cell
! E_tot: -20.20 eV per cell



9.
! PBE Cu2SiNi, optimized geometry; values from VASP
&SYSTEM
  ibrav = 0, nat = 4, ntyp = 3
/
ATOMIC_SPECIES
Cu 63.55 Cu.upf
Si 28.09 Si.upf
Ni 58.69 Ni.upf
ATOMIC_POSITIONS angstrom
Cu 0.000 0.000 0.000
Cu 1.419 1.419 1.419
Si 2.837 2.837 2.837
Ni 4.256 4.256 4.256
CELL_PARAMETERS angstrom
0.000 2.837 2.837
2.837 0.000 2.837
2.837 2.837 0.000
! size of the total moment: 0.00 μB/cell
! E_tot: -19.14 eV per cell



10.
! PBE PmH, optimized geometry; values from VASP
&SYSTEM
  ibrav = 0, nat = 2, ntyp = 2
/
ATOMIC_SPECIES
Pm 145.00 Pm.upf
H 1.01 H.upf
ATOMIC_POSITIONS angstrom
Pm 0.000 0.000 0.000
H 1.344 1.344 1.344
CELL_PARAMETERS angstrom
0.000 2.688 2.688
2.688 0.000 2.688
2.688 2.688 0.000
! size of the total moment: 0.16 μB/cell
! offset from the most stable computed form: 0.057 eV per atom



11.
! PBE RbReTeAuS2, optimized geometry; values from VASP
&SYSTEM
  ibrav = 0, nat = 12, ntyp = 5
/
ATOMIC_SPECIES
Rb 85.47 Rb.upf
Re 186.21 Re.upf
Te 127.60 Te.upf
Au 196.97 Au.upf
S 32.06 S.upf
ATOMIC_POSITIONS angstrom
Rb 1.819 4.559 7.825
Rb 1.819 -4.559 2.608
Re 1.819 0.000 0.000
Re 1.819 0.000 5.217
Te 1.819 0.979 2.608
Te 1.819 -0.979 7.825
Au 1.819 6.907 2.608
Au 1.819 -6.907 7.825
S 1.819 7.003 0.270
S 1.819 7.003 4.947
S 1.819 -7.003 5.486
S 1.819 -7.003 10.163
CELL_PARAMETERS angstrom
1.819 -8.644 0.000
1.819 8.644 0.000
0.000 0.000 10.433
! size of the total moment: 4.63 μB/cell
! E_tot: -58.19 eV per cell



12.
! PBE Hf2AgB, optimized geometry; values from VASP
&SYSTEM
  ibrav = 0, nat = 4, ntyp = 3
/
ATOMIC_SPECIES
Hf 178.49 Hf.upf
Ag 107.87 Ag.upf
B 10.81 B.upf
ATOMIC_POSITIONS angstrom
Hf 0.000 0.000 0.000
Hf 1.636 1.636 1.636
Ag 4.907 4.907 4.907
B 3.271 3.271 3.271
CELL_PARAMETERS angstrom
0.000 3.271 3.271
3.271 0.000 3.271
3.271 3.271 0.000
! size of the total moment: 1.74 μB/cell
! E_tot: -25.48 eV per cell